First-principles (GGA-PBE) data for an optimized crystal structure of RbSr2GaIr, as listed in Alexandria.

a b c (Å): 5.9959 5.9959 5.0017
angles (deg): 90.00 90.00 90.00
With the nearest neighbours (Å) after each atom.
Fractional coordinates of all 5 atoms:
Rb 0.0000 0.0000 0.0000  8 Sr 3.90, 4 Ga 4.24
Sr 0.0000 0.5000 0.5000  2 Ir 3.00
Sr 0.5000 0.0000 0.5000  2 Ir 3.00
Ga 0.5000 0.5000 0.0000  2 Ir 2.50
Ir 0.5000 0.5000 0.5000  2 Ga 2.50

VASP energy: -3.374 eV per atom
total magnetization: 0.2 μB/f.u.
N(E_F): 3.548 states/eV/f.u.
space group: P4/mmm (123)